First-principles (PBE) data for a geometry-optimized Nd2Ni2Cl structure, as listed in the Open Quantum Materials Database.

Cell and atoms, written as POSCAR:
```
Nd2Ni2Cl
1.0
4.0126 0.0000 0.0000
-2.0063 3.4750 0.0000
0.0000 0.0000 8.1582
Cl Nd Ni
1 2 2
Direct
0.3333 0.6667 0.0000 Cl
0.6667 0.3333 0.2739 Nd
0.6667 0.3333 0.7261 Nd
0.0000 0.0000 0.5000 Ni
0.3333 0.6667 0.5000 Ni
```

Results
**Density**: 6.4 g/cm3
**Calculated volume**: 22.8 A^3/atom
**Spin magnetization**: 0.00 μB per atom
**VASP energy**: -0.3943 Ry/atom